Here is a crystal of LiCr2W relaxed with PBEsol from Alexandria via LeMat-Bulk. Energies are from meta-GGA SCAN.

Geometry as extended XYZ:
```
4
Lattice="2.5053 0.0000 -0.0017 0.0000 4.1144 0.0000 -0.7995 0.0000 4.8659" Properties=species:S:1:pos:R:3 pbc="T T T"
Cr 2.4252 0.0000 0.0726
Cr 1.6442 2.0572 1.1603
Li 0.9602 0.0000 2.3980
W 0.0345 2.0572 3.6636
```

Summary:
E: -107.078 eV/cell